SrPuCr2O8: optimized geometry, GGA+U.

The structure in POSCAR format:
```
SrPuCr2O8
1.0
5.730 0.000 0.000
-2.865 4.962 0.000
0.000 0.000 7.061
Sr Pu Cr O
1 1 2 8
Direct
0.000 0.000 0.500 Sr
0.000 0.000 0.000 Pu
0.333 0.667 0.721 Cr
0.667 0.333 0.279 Cr
0.163 0.326 0.803 O
0.163 0.837 0.803 O
0.674 0.837 0.803 O
0.326 0.163 0.197 O
0.667 0.333 0.513 O
0.333 0.667 0.487 O
0.837 0.674 0.197 O
0.837 0.163 0.197 O
```

Summary:
total magnetic moment: 0.50 μB/atom
symmetry: P-3m1, No. 164
DOS at the Fermi energy: 0.63 states/eV/atom
calculated total energy: -7.927 eV/atom